(1)
A plane-wave DFT calculation with GGA-PBE was carried out for a relaxed structure of CaTaCo2Cl.

The density of states at the Fermi level comes out at 1.55 states/eV per atom.

Cell and atoms, written as POSCAR:
```
CaTaCo2Cl
1.0
4.528 0.000 0.000
0.000 4.528 0.000
0.000 0.000 5.636
Ca Ta Co Cl
1 1 2 1
Cartesian
0.000 0.000 0.000
0.000 0.000 2.818
0.000 2.264 0.000
2.264 0.000 0.000
2.264 2.264 2.818
```


(2)
A plane-wave DFT calculation with GGA-PBE was carried out for a relaxed structure of CaZn2CoCl.

The density of states at the Fermi level comes out at 0.48 states/eV per atom.

Cell and atoms, written as POSCAR:
```
CaZn2CoCl
1.0
5.061 0.000 0.000
0.000 5.061 0.000
0.000 0.000 5.013
Ca Zn Co Cl
1 2 1 1
Cartesian
0.000 0.000 0.000
0.000 2.531 2.506
2.531 0.000 2.506
2.531 2.531 0.000
0.000 0.000 2.506
```


(3)
A plane-wave DFT calculation with GGA-PBE was carried out for a relaxed structure of Ca2CrCl.

The calculation puts the energy above the most stable polymorph in this dataset at 0.129 eV/atom. The density of states at the Fermi level comes out at 0.65 states/eV per atom.

Cell and atoms, written as POSCAR:
```
Ca2CrCl
1.0
-1.753 1.872 8.572
1.753 -1.872 8.572
1.753 1.872 -8.572
Ca Cr Cl
2 1 1
Cartesian
0.000 0.000 0.000
0.000 1.872 4.251
0.000 0.000 6.686
1.753 0.000 2.632
```


(4)
A plane-wave DFT calculation with GGA-PBE was carried out for a relaxed structure of Ca2CrCl6.

The density of states at the Fermi level comes out at 0.76 states/eV per atom.

Cell and atoms, written as POSCAR:
```
Ca2CrCl6
1.0
3.487 2.013 6.100
-3.487 2.013 6.100
0.000 -4.026 6.100
Ca Cr Cl
2 1 6
Cartesian
0.000 0.000 3.493
0.000 0.000 14.808
0.000 0.000 0.000
-0.992 -2.286 7.626
-2.475 -0.284 10.675
-1.484 2.001 7.626
1.484 -2.001 10.675
2.475 0.284 7.626
0.992 2.286 10.675
```


(5)
A plane-wave DFT calculation with GGA-PBE was carried out for a relaxed structure of Ca2CrCl.

The calculation puts the energy above the most stable polymorph in this dataset at 0.000 eV/atom. The density of states at the Fermi level comes out at 0.97 states/eV per atom.

Cell and atoms, written as POSCAR:
```
Ca2CrCl
1.0
3.886 0.000 0.000
0.000 3.613 0.000
-0.020 0.000 8.366
Ca Cr Cl
2 1 1
Cartesian
-0.001 0.000 1.946
3.867 0.000 6.420
1.943 1.806 0.000
-0.010 1.806 4.183
```


(6)
A plane-wave DFT calculation with GGA-PBE was carried out for a relaxed structure of Ca2CrCl.

The calculation puts the energy above the most stable polymorph in this dataset at 0.348 eV/atom. The density of states at the Fermi level comes out at 0.55 states/eV per atom.

Cell and atoms, written as POSCAR:
```
Ca2CrCl
1.0
-2.542 2.542 4.424
2.542 -2.542 4.424
2.542 2.542 -4.424
Ca Cr Cl
2 1 1
Cartesian
2.542 0.000 2.212
0.000 2.542 2.212
0.000 0.000 0.000
0.000 0.000 4.424
```


(7)
A plane-wave DFT calculation with GGA-PBE was carried out for a relaxed structure of Ca2CrCl.

The calculation puts the energy above the most stable polymorph in this dataset at 0.068 eV/atom. The density of states at the Fermi level comes out at 0.84 states/eV per atom.

Cell and atoms, written as POSCAR:
```
Ca2CrCl
1.0
3.590 0.000 0.000
0.000 3.590 0.000
0.000 0.000 8.207
Ca Cr Cl
2 1 1
Cartesian
0.000 0.000 1.978
0.000 0.000 6.229
1.795 1.795 0.000
1.795 1.795 4.103
```


(8)
A plane-wave DFT calculation with GGA-PBE was carried out for a relaxed structure of Ca2CrCl.

The calculation puts the energy above the most stable polymorph in this dataset at 0.185 eV/atom. The density of states at the Fermi level comes out at 0.68 states/eV per atom.

Cell and atoms, written as POSCAR:
```
Ca2CrCl
1.0
5.949 -1.766 0.000
5.949 1.766 0.000
-1.381 0.000 5.518
Ca Cr Cl
2 1 1
Cartesian
0.000 0.000 0.000
1.794 0.000 3.332
8.746 0.000 0.663
5.299 0.000 3.406
```


(9)
A plane-wave DFT calculation with GGA-PBE was carried out for a relaxed structure of CaCrCl4.

The density of states at the Fermi level comes out at 0.66 states/eV per atom.

Cell and atoms, written as POSCAR:
```
CaCrCl4
1.0
0.000 4.219 4.219
4.219 0.000 4.219
4.219 4.219 0.000
Ca Cr Cl
1 1 4
Cartesian
0.000 0.000 0.000
2.110 2.110 2.110
5.273 3.166 3.166
3.166 5.273 3.166
3.166 3.166 5.273
5.273 5.273 5.273
```


(10)
A plane-wave DFT calculation with GGA-PBE was carried out for a relaxed structure of CaCr3Cl.

The calculation puts the energy above the most stable polymorph in this dataset at 1.046 eV/atom. The density of states at the Fermi level comes out at 0.78 states/eV per atom.

Cell and atoms, written as POSCAR:
```
CaCr3Cl
1.0
5.699 0.000 0.000
0.000 5.699 0.000
0.000 0.000 5.699
Ca Cr Cl
1 3 1
Cartesian
0.000 0.000 0.000
0.000 0.000 2.849
0.000 2.849 0.000
2.849 0.000 0.000
2.849 2.849 2.849
```


(11)
A plane-wave DFT calculation with GGA-PBE was carried out for a relaxed structure of Ca2CrCl.

The calculation puts the energy above the most stable polymorph in this dataset at 0.200 eV/atom. The density of states at the Fermi level comes out at 0.48 states/eV per atom.

Cell and atoms, written as POSCAR:
```
Ca2CrCl
1.0
3.572 0.000 0.000
0.000 3.572 0.000
0.000 0.000 10.058
Ca Cr Cl
2 1 1
Cartesian
0.000 0.000 0.000
1.786 1.786 3.119
1.786 1.786 7.940
0.000 0.000 4.475
```


(12)
A plane-wave DFT calculation with GGA-PBE was carried out for a relaxed structure of CaCr3Cl.

The calculation puts the energy above the most stable polymorph in this dataset at 0.000 eV/atom. The density of states at the Fermi level comes out at 1.10 states/eV per atom.

Cell and atoms, written as POSCAR:
```
CaCr3Cl
1.0
4.446 0.000 0.000
0.000 4.446 0.000
0.000 0.000 4.446
Ca Cr Cl
1 3 1
Cartesian
0.000 0.000 0.000
0.000 2.223 2.223
2.223 0.000 2.223
2.223 2.223 0.000
2.223 2.223 2.223
```


(13)
A plane-wave DFT calculation with GGA-PBE was carried out for a relaxed structure of Ca3CrCl.

The calculation puts the energy above the most stable polymorph in this dataset at 0.000 eV/atom. The density of states at the Fermi level comes out at 1.18 states/eV per atom.

Cell and atoms, written as POSCAR:
```
Ca3CrCl
1.0
5.428 0.000 0.000
0.000 5.428 0.000
0.000 0.000 5.428
Ca Cr Cl
3 1 1
Cartesian
0.000 0.000 2.714
0.000 2.714 0.000
2.714 0.000 0.000
2.714 2.714 2.714
0.000 0.000 0.000
```


Number 1: ΔE_f (raw) 2.26 eV per atom, final energy -0.274 Ry per atom, total magnetic moment 5.01 μB per cell. Number 2: ΔE_f (raw) 0.53 eV per atom, final energy -0.160 Ry per atom, total magnetic moment 1.83 μB per cell. Number 3: ΔE_f (raw) -0.29 eV per atom, final energy -0.306 Ry per atom, total magnetic moment 4.41 μB per cell. Number 4: ΔE_f (raw) -1.85 eV per atom, final energy -0.338 Ry per atom, total magnetic moment 4.00 μB per cell. Number 5: ΔE_f (raw) -0.42 eV per atom, final energy -0.315 Ry per atom, total magnetic moment 4.40 μB per cell. Number 6: ΔE_f (raw) -0.07 eV per atom, final energy -0.289 Ry per atom, total magnetic moment 5.30 μB per cell. Number 7: ΔE_f (raw) -0.35 eV per atom, final energy -0.310 Ry per atom, total magnetic moment 4.23 μB per cell. Number 8: ΔE_f (raw) -0.23 eV per atom, final energy -0.301 Ry per atom, total magnetic moment 4.54 μB per cell. Number 9: ΔE_f (raw) -0.09 eV per atom, final energy -0.240 Ry per atom, total magnetic moment 3.96 μB per cell. Number 10: ΔE_f (raw) 1.87 eV per atom, final energy -0.343 Ry per atom, total magnetic moment 14.95 μB per cell. Number 11: ΔE_f (raw) -0.22 eV per atom, final energy -0.300 Ry per atom, total magnetic moment 4.83 μB per cell. Number 12: ΔE_f (raw) 0.83 eV per atom, final energy -0.420 Ry per atom, total magnetic moment 7.05 μB per cell. Number 13: ΔE_f (raw) -0.14 eV per atom, final energy -0.267 Ry per atom, total magnetic moment 5.33 μB per cell.